A plane-wave DFT calculation with GGA+U was carried out for an optimized crystal structure of KNpV2O8.

Cell lengths 5.610, 5.610, 7.963 Å; angles 89.27, 89.27, 63.83 degrees
Fractional positions:
1 V 0.643 0.643 0.223
2 V 0.357 0.357 0.777
3 O 0.303 0.303 0.582
4 O 0.707 0.208 0.813
5 O 0.790 0.790 0.082
6 O 0.210 0.210 0.918
7 O 0.792 0.293 0.187
8 O 0.293 0.792 0.187
9 O 0.697 0.697 0.418
10 O 0.208 0.707 0.813
11 Np 0.000 0.000 0.000
12 K 0.000 0.000 0.500

volume	224.9	Å³/cell
E	-95.39	eV/cell
SG	No. 12
size of the total moment	2.00	μB per cell